Dy2AgS | Alexandria via LeMat-Bulk | PBE-GGA | relaxed; magnetic moment = 0.000 μB per atom; symmetry = Cmcm; D(E_F) = 0.52 states/eV/atom; excess energy over the best structure of this formula in the dataset = 0.000 eV per atom; formation energy without anion corrections = -4.533 eV/f.u.
1.0
4.057 0.000 0.000
0.000 3.904 -0.693
0.000 0.062 11.683
Dy Ag S
4 2 2
Direct
0.750 0.688 0.377
0.250 0.312 0.623
0.750 0.925 0.849
0.250 0.075 0.151
0.250 0.457 0.914
0.750 0.543 0.086
0.250 0.194 0.388
0.750 0.806 0.612

Dy2AgS | Alexandria via LeMat-Bulk | PBE-GGA | relaxed; magnetic moment = 0.000 μB per atom; symmetry = R3m; D(E_F) = 0.65 states/eV/atom; excess energy over the best structure of this formula in the dataset = 0.107 eV per atom; formation energy without anion corrections = -4.105 eV/f.u.
1.0
-2.245 3.076 0.029
-3.603 -0.261 -1.206
-4.177 -0.754 6.628
Dy Ag S
2 1 1
Direct
0.073 0.073 0.781
0.260 0.260 0.221
0.499 0.499 0.502
0.668 0.668 0.996

Dy3Ag3SbS8 | Alexandria via LeMat-Bulk | PBE-GGA | relaxed; magnetic moment = 0.000 μB per atom; symmetry = C2/m; D(E_F) = 0.10 states/eV/atom; formation energy without anion corrections = -15.692 eV/f.u.
1.0
-3.549 4.804 -5.251
-3.032 -7.197 1.487
-0.291 5.641 5.358
Dy Ag Sb S
3 3 1 8
Direct
0.500 0.000 0.500
0.500 0.500 0.500
0.000 0.500 0.500
0.000 0.000 0.000
0.000 0.500 0.000
0.500 0.500 0.000
0.000 0.000 0.500
0.254 0.508 0.263
0.746 0.492 0.737
0.762 0.523 0.266
0.238 0.477 0.734
0.762 0.003 0.266
0.238 0.997 0.734
0.242 0.003 0.266
0.758 0.997 0.734

Dy3Ag4SbS8 | Alexandria via LeMat-Bulk | PBE-GGA | relaxed; magnetic moment = 0.000 μB per atom; symmetry = C2/m; formation energy without anion corrections = -15.922 eV/f.u.
1.0
8.035 0.000 0.000
0.000 7.729 -0.227
-4.018 -4.017 5.678
Dy Ag Sb S
3 4 1 8
Direct
0.500 0.500 0.000
0.500 0.500 0.500
0.000 0.500 0.500
0.500 0.000 0.000
0.500 0.000 0.500
0.000 0.000 0.000
0.000 0.000 0.500
0.000 0.500 0.000
0.248 0.742 0.995
0.248 0.742 0.495
0.254 0.261 0.507
0.748 0.742 0.995
0.252 0.258 0.005
0.746 0.739 0.493
0.752 0.258 0.505
0.752 0.258 0.005

Dy2ScAg3S6 | Alexandria via LeMat-Bulk | PBE-GGA | relaxed; magnetic moment = 0.000 μB per atom; symmetry = C2/m; D(E_F) = 0.00 states/eV/atom; formation energy without anion corrections = -14.869 eV/f.u.
1.0
-0.915 -6.087 -2.990
2.818 0.374 6.225
-6.256 1.473 1.502
Dy Sc Ag S
2 1 3 6
Direct
0.334 0.666 0.000
0.666 0.334 0.000
0.000 0.000 0.000
0.170 0.830 0.500
0.830 0.170 0.500
0.500 0.500 0.500
0.922 0.602 0.764
0.757 0.757 0.233
0.078 0.398 0.236
0.602 0.922 0.764
0.243 0.243 0.767
0.398 0.078 0.236

Dy4ScAgS8 | Alexandria via LeMat-Bulk | PBE-GGA | relaxed; magnetic moment = 0.000 μB per atom; symmetry = R3m; D(E_F) = 0.00 states/eV/atom; formation energy without anion corrections = -25.152 eV/f.u.
1.0
-4.271 6.441 2.060
-7.868 -0.659 1.276
-2.941 0.686 7.286
Dy Sc Ag S
4 1 1 8
Direct
0.622 0.622 0.133
0.004 0.488 0.504
0.488 0.004 0.504
0.004 0.004 0.504
0.006 0.006 0.981
0.378 0.378 0.867
0.234 0.776 0.755
0.776 0.234 0.755
0.234 0.234 0.755
0.243 0.243 0.271
0.766 0.220 0.248
0.220 0.766 0.248
0.766 0.766 0.248
0.757 0.757 0.728